Entry 1:
Entry from Alexandria: SiSb3Ir at its PBEsol-relaxed geometry (SCAN).

a = 5.109 Å, b = 5.109 Å, c = 5.109 Å
α = 90.00°, β = 90.00°, γ = 90.00°
Fractional coordinates of all 5 atoms:
Si 0.000 0.000 0.000
Sb 0.000 0.500 0.500
Sb 0.500 0.000 0.500
Sb 0.500 0.500 0.000
Ir 0.500 0.500 0.500

Output
Raw formation energy, eV/atom: 0.838
V, A^3/atom: 26.7

---

Entry 2:
Entry from Alexandria: Rb2SnF6 at its PBEsol-relaxed geometry (SCAN).

a = 6.022 Å, b = 6.022 Å, c = 4.796 Å
α = 90.00°, β = 90.00°, γ = 120.00°
Fractional coordinates of all 9 atoms:
Rb 0.333 0.667 0.200
Rb 0.667 0.333 0.800
Sn 0.000 0.000 0.500
F 0.159 0.319 0.728
F 0.159 0.841 0.728
F 0.319 0.159 0.272
F 0.681 0.841 0.728
F 0.841 0.159 0.272
F 0.841 0.681 0.272

Output
Raw formation energy, eV/atom: -2.913
V, A^3/atom: 16.7

---

Entry 3:
Entry from Alexandria: MgTeSe2 at its PBEsol-relaxed geometry (SCAN).

a = 8.700 Å, b = 8.700 Å, c = 8.700 Å
α = 143.57°, β = 143.57°, γ = 52.47°
Fractional coordinates of all 8 atoms:
Mg 0.000 0.000 0.000
Mg 0.750 0.250 0.500
Te 0.250 0.750 0.500
Te 0.500 0.500 0.000
Se 0.108 0.625 0.983
Se 0.375 0.358 0.483
Se 0.642 0.125 0.017
Se 0.875 0.892 0.517

Output
E above lowest polymorph, meV/atom: 63
Raw formation energy, eV/atom: -0.327
V, A^3/atom: 28.9

---

Entry 4:
Entry from Alexandria: Tl3In4 at its PBEsol-relaxed geometry (SCAN).

a = 13.802 Å, b = 13.802 Å, c = 13.802 Å
α = 164.52°, β = 164.52°, γ = 21.95°
Fractional coordinates of all 7 atoms:
Tl 0.000 0.000 0.000
Tl 0.288 0.288 0.000
Tl 0.712 0.712 0.000
In 0.139 0.139 0.000
In 0.428 0.428 0.000
In 0.572 0.572 0.000
In 0.861 0.861 0.000

Output
V, A^3/atom: 26.7
DFT formation energy, eV/atom: 0.055

---

Entry 5:
Entry from Alexandria: Ta2CuSi at its PBEsol-relaxed geometry (SCAN).

a = 4.407 Å, b = 4.407 Å, c = 4.407 Å
α = 60.00°, β = 60.00°, γ = 60.00°
Fractional coordinates of all 4 atoms:
Ta 0.000 0.000 0.000
Ta 0.250 0.250 0.250
Cu 0.750 0.750 0.750
Si 0.500 0.500 0.500

Output
Raw formation energy, eV/atom: 0.279
V, A^3/atom: 15.1

---

Entry 6:
Entry from Alexandria: MgZn4Pb at its PBEsol-relaxed geometry (SCAN).

a = 5.344 Å, b = 5.344 Å, c = 5.344 Å
α = 60.00°, β = 60.00°, γ = 60.00°
Fractional coordinates of all 6 atoms:
Mg 0.000 0.000 0.000
Zn 0.122 0.626 0.626
Zn 0.626 0.122 0.626
Zn 0.626 0.626 0.122
Zn 0.626 0.626 0.626
Pb 0.250 0.250 0.250

Output
V, A^3/atom: 18.0
DFT formation energy, eV/atom: 0.032

---

Entry 7:
Entry from Alexandria: Zr2CdTc at its PBEsol-relaxed geometry (SCAN).

a = 4.675 Å, b = 4.675 Å, c = 3.432 Å
α = 90.00°, β = 90.00°, γ = 90.00°
Fractional coordinates of all 4 atoms:
Zr 0.000 0.500 0.000
Zr 0.500 0.000 0.000
Cd 0.000 0.000 0.500
Tc 0.500 0.500 0.500

Output
V, A^3/atom: 18.8
DFT formation energy, eV/atom: -0.271

---

Entry 8:
Entry from Alexandria: CaHg3 at its PBEsol-relaxed geometry (SCAN).

a = 5.316 Å, b = 5.316 Å, c = 5.316 Å
α = 127.05°, β = 127.05°, γ = 78.16°
Fractional coordinates of all 4 atoms:
Ca 0.000 0.000 0.000
Hg 0.250 0.750 0.500
Hg 0.500 0.500 0.000
Hg 0.750 0.250 0.500

Output
V, A^3/atom: 23.2
DFT formation energy, eV/atom: -0.468

---

Entry 9:
Entry from Alexandria: YRhW2 at its PBEsol-relaxed geometry (SCAN).

a = 5.378 Å, b = 5.378 Å, c = 2.788 Å
α = 90.00°, β = 90.00°, γ = 121.46°
Fractional coordinates of all 4 atoms:
Y 0.000 0.000 0.000
Rh 0.500 0.500 0.000
W 0.000 0.500 0.500
W 0.500 0.000 0.500

Output
E above lowest polymorph, meV/atom: 402
V, A^3/atom: 17.2
DFT formation energy, eV/atom: 0.449

---

Entry 10:
Entry from Alexandria: Zn2CdTe at its PBEsol-relaxed geometry (SCAN).

a = 6.561 Å, b = 6.561 Å, c = 6.561 Å
α = 145.81°, β = 145.81°, γ = 49.13°
Fractional coordinates of all 4 atoms:
Zn 0.000 0.000 0.000
Zn 0.750 0.250 0.500
Cd 0.500 0.500 0.000
Te 0.250 0.750 0.500

Output
E above lowest polymorph, meV/atom: 58
Raw formation energy, eV/atom: 0.156
V, A^3/atom: 22.2

---

Entry 11:
Entry from Alexandria: Co3TcF at its PBEsol-relaxed geometry (SCAN).

a = 4.345 Å, b = 4.345 Å, c = 4.345 Å
α = 90.00°, β = 90.00°, γ = 90.00°
Fractional coordinates of all 5 atoms:
Co 0.000 0.000 0.500
Co 0.000 0.500 0.000
Co 0.500 0.000 0.000
Tc 0.000 0.000 0.000
F 0.500 0.500 0.500

Output
Raw formation energy, eV/atom: 1.311
V, A^3/atom: 16.4

---

Entry 12:
Entry from Alexandria: CsYSe2O6 at its PBEsol-relaxed geometry (SCAN).

a = 8.791 Å, b = 8.791 Å, c = 8.791 Å
α = 90.00°, β = 90.00°, γ = 90.00°
Fractional coordinates of all 40 atoms:
Cs 0.000 0.000 0.000
Cs 0.000 0.500 0.500
Cs 0.500 0.000 0.500
Cs 0.500 0.500 0.000
Y 0.000 0.000 0.500
Y 0.000 0.500 0.000
Y 0.500 0.000 0.000
Y 0.500 0.500 0.500
Se 0.240 0.240 0.240
Se 0.240 0.260 0.740
Se 0.260 0.740 0.240
Se 0.260 0.760 0.740
Se 0.740 0.240 0.260
Se 0.740 0.260 0.760
Se 0.760 0.740 0.260
Se 0.760 0.760 0.760
O 0.079 0.178 0.665
O 0.079 0.322 0.165
O 0.165 0.079 0.322
O 0.165 0.421 0.822
O 0.178 0.665 0.079
O 0.178 0.835 0.579
O 0.322 0.165 0.079
O 0.322 0.335 0.579
O 0.335 0.579 0.322
O 0.335 0.921 0.822
O 0.421 0.678 0.665
O 0.421 0.822 0.165
O 0.579 0.178 0.835
O 0.579 0.322 0.335
O 0.665 0.079 0.178
O 0.665 0.421 0.678
O 0.678 0.665 0.421
O 0.678 0.835 0.921
O 0.822 0.165 0.421
O 0.822 0.335 0.921
O 0.835 0.579 0.178
O 0.835 0.921 0.678
O 0.921 0.678 0.835
O 0.921 0.822 0.335

Output
Raw formation energy, eV/atom: -1.993
V, A^3/atom: 17.0

---

Entry 13:
Entry from Alexandria: Sc3MnCu at its PBEsol-relaxed geometry (SCAN).

a = 4.858 Å, b = 4.858 Å, c = 4.858 Å
α = 90.00°, β = 90.00°, γ = 90.00°
Fractional coordinates of all 5 atoms:
Sc 0.000 0.000 0.500
Sc 0.000 0.500 0.000
Sc 0.500 0.000 0.000
Mn 0.500 0.500 0.500
Cu 0.000 0.000 0.000

Output
V, A^3/atom: 22.9
DFT formation energy, eV/atom: 0.243

---

Entry 14:
Entry from Alexandria: HfAuN2 at its PBEsol-relaxed geometry (SCAN).

a = 6.462 Å, b = 6.462 Å, c = 6.462 Å
α = 29.23°, β = 29.23°, γ = 29.23°
Fractional coordinates of all 4 atoms:
Hf 0.000 0.000 0.000
Au 0.500 0.500 0.500
N 0.113 0.113 0.113
N 0.887 0.887 0.887

Output
Raw formation energy, eV/atom: 0.721
V, A^3/atom: 14.2

---

Entry 15:
Entry from Alexandria: ErMg16Al12 at its PBEsol-relaxed geometry (SCAN).

a = 9.130 Å, b = 9.130 Å, c = 9.130 Å
α = 109.98°, β = 109.98°, γ = 109.98°
Fractional coordinates of all 29 atoms:
Er 0.000 0.000 0.000
Mg 0.022 0.316 0.628
Mg 0.022 0.628 0.316
Mg 0.235 0.235 0.905
Mg 0.235 0.905 0.235
Mg 0.283 0.625 0.625
Mg 0.316 0.022 0.628
Mg 0.316 0.628 0.022
Mg 0.345 0.943 0.943
Mg 0.625 0.283 0.625
Mg 0.625 0.625 0.283
Mg 0.627 0.627 0.627
Mg 0.628 0.022 0.316
Mg 0.628 0.316 0.022
Mg 0.905 0.235 0.235
Mg 0.943 0.345 0.943
Mg 0.943 0.943 0.345
Al 0.253 0.253 0.437
Al 0.253 0.437 0.253
Al 0.437 0.253 0.253
Al 0.439 0.439 0.801
Al 0.439 0.801 0.439
Al 0.631 0.815 0.994
Al 0.631 0.994 0.815
Al 0.801 0.439 0.439
Al 0.815 0.631 0.994
Al 0.815 0.994 0.631
Al 0.994 0.631 0.815
Al 0.994 0.815 0.631

Output
E above lowest polymorph, meV/atom: 8
V, A^3/atom: 19.8
DFT formation energy, eV/atom: -0.066

---

Entry 16:
Entry from Alexandria: AlCdPb2 at its PBEsol-relaxed geometry (SCAN).

a = 5.250 Å, b = 5.250 Å, c = 5.250 Å
α = 60.00°, β = 60.00°, γ = 60.00°
Fractional coordinates of all 4 atoms:
Al 0.000 0.000 0.000
Cd 0.750 0.750 0.750
Pb 0.250 0.250 0.250
Pb 0.500 0.500 0.500

Output
V, A^3/atom: 25.6
DFT formation energy, eV/atom: 0.244

---

Entry 17:
Entry from Alexandria: YAs2Pt at its PBEsol-relaxed geometry (SCAN).

a = 4.764 Å, b = 4.764 Å, c = 4.764 Å
α = 60.00°, β = 60.00°, γ = 60.00°
Fractional coordinates of all 4 atoms:
Y 0.000 0.000 0.000
As 0.250 0.250 0.250
As 0.500 0.500 0.500
Pt 0.750 0.750 0.750

Output
V, A^3/atom: 19.1
DFT formation energy, eV/atom: -0.524

---

Entry 18:
Entry from Alexandria: SnSO2F at its PBEsol-relaxed geometry (SCAN).

a = 4.024 Å, b = 4.024 Å, c = 4.169 Å
α = 90.00°, β = 90.00°, γ = 90.00°
Fractional coordinates of all 5 atoms:
Sn 0.000 0.000 0.000
S 0.500 0.500 0.500
O 0.000 0.500 0.000
O 0.500 0.000 0.000
F 0.000 0.000 0.500

Output
Raw formation energy, eV/atom: -0.705
V, A^3/atom: 13.5

---

Entry 19:
Entry from Alexandria: Al2ZnP at its PBEsol-relaxed geometry (SCAN).

a = 2.983 Å, b = 2.983 Å, c = 6.989 Å
α = 90.00°, β = 90.00°, γ = 90.00°
Fractional coordinates of all 4 atoms:
Al 0.000 0.000 0.000
Al 0.500 0.500 0.280
Zn 0.500 0.500 0.736
P 0.000 0.000 0.493

Output
E above lowest polymorph, meV/atom: 78
V, A^3/atom: 15.6
DFT formation energy, eV/atom: 0.166

---

Entry 20:
Entry from Alexandria: Sc2TcPd at its PBEsol-relaxed geometry (SCAN).

a = 4.540 Å, b = 4.540 Å, c = 4.540 Å
α = 60.00°, β = 60.00°, γ = 60.00°
Fractional coordinates of all 4 atoms:
Sc 0.250 0.250 0.250
Sc 0.750 0.750 0.750
Tc 0.000 0.000 0.000
Pd 0.500 0.500 0.500

Output
V, A^3/atom: 16.5
DFT formation energy, eV/atom: -0.621

---

Entry 21:
Entry from Alexandria: Y5Au at its PBEsol-relaxed geometry (SCAN).

a = 3.520 Å, b = 3.520 Å, c = 13.571 Å
α = 90.00°, β = 90.00°, γ = 90.00°
Fractional coordinates of all 6 atoms:
Y 0.000 0.000 0.000
Y 0.000 0.000 0.370
Y 0.000 0.000 0.630
Y 0.500 0.500 0.180
Y 0.500 0.500 0.820
Au 0.500 0.500 0.500

Output
E above lowest polymorph, meV/atom: 10
V, A^3/atom: 28.0
DFT formation energy, eV/atom: -0.339

---

Entry 22:
Entry from Alexandria: TaCdRu2 at its PBEsol-relaxed geometry (SCAN).

a = 5.178 Å, b = 5.178 Å, c = 5.178 Å
α = 145.25°, β = 125.42°, γ = 66.35°
Fractional coordinates of all 4 atoms:
Ta 0.000 0.000 0.000
Cd 0.500 0.500 0.000
Ru 0.232 0.732 0.500
Ru 0.768 0.268 0.500

Output
V, A^3/atom: 15.9
DFT formation energy, eV/atom: 0.129

---

Entry 23:
Entry from Alexandria: Tc2RhBr at its PBEsol-relaxed geometry (SCAN).

a = 4.008 Å, b = 5.358 Å, c = 5.358 Å
α = 30.82°, β = 90.00°, γ = 90.00°
Fractional coordinates of all 4 atoms:
Tc 0.000 0.000 0.000
Tc 0.500 0.377 0.377
Rh 0.500 0.623 0.623
Br 0.000 0.238 0.238

Output
E above lowest polymorph, meV/atom: 188
Raw formation energy, eV/atom: 0.652
V, A^3/atom: 14.7

---

Entry 24:
Entry from Alexandria: BeP3Os at its PBEsol-relaxed geometry (SCAN).

a = 4.058 Å, b = 4.058 Å, c = 4.058 Å
α = 90.00°, β = 90.00°, γ = 90.00°
Fractional coordinates of all 5 atoms:
Be 0.000 0.000 0.000
P 0.000 0.000 0.500
P 0.000 0.500 0.000
P 0.500 0.000 0.000
Os 0.500 0.500 0.500

Output
V, A^3/atom: 13.4
DFT formation energy, eV/atom: 1.219

---

Entry 25:
Entry from Alexandria: CaBiI2O at its PBEsol-relaxed geometry (SCAN).

a = 6.266 Å, b = 6.266 Å, c = 4.317 Å
α = 90.00°, β = 90.00°, γ = 90.00°
Fractional coordinates of all 5 atoms:
Ca 0.000 0.000 0.000
Bi 0.500 0.500 0.500
I 0.000 0.500 0.500
I 0.500 0.000 0.500
O 0.500 0.500 0.000

Output
E above lowest polymorph, meV/atom: 95
Raw formation energy, eV/atom: -0.578
V, A^3/atom: 33.9

---

Entry 26:
Entry from Alexandria: ScCd2Hg at its PBEsol-relaxed geometry (SCAN).

a = 4.840 Å, b = 4.840 Å, c = 4.840 Å
α = 119.80°, β = 119.80°, γ = 90.36°
Fractional coordinates of all 4 atoms:
Sc 0.000 0.000 0.000
Cd 0.500 0.500 0.000
Cd 0.750 0.250 0.500
Hg 0.250 0.750 0.500

Output
V, A^3/atom: 20.1
DFT formation energy, eV/atom: -0.327